The following is a DFT calculation (PBE) of ReBrNF5 after structural relaxation.

Computed properties:
* E: -5.358 eV per atom

Structure (CIF):
```
data_ReBrNF5
_chemical_formula_sum 'Re2 Br2 N2 F10'
_cell_length_a 4.5828
_cell_length_b 7.7869
_cell_length_c 6.0348
_cell_angle_alpha 90.00
_cell_angle_beta 91.25
_cell_angle_gamma 90.00
_space_group_name_H-M_alt 'P 1 21/m 1'
_space_group_IT_number 11
_space_group_name_Hall '-P 2yb'
loop_
_atom_site_label
_atom_site_type_symbol
_atom_site_fract_x
_atom_site_fract_y
_atom_site_fract_z
_atom_site_occupancy
Re1 Re 0.0310 0.2500 0.2058 1
Br1 Br 0.4528 0.2500 0.7398 1
N1 N 0.2307 0.2500 0.9656 1
F1 F 0.1846 0.7500 0.5174 1
F2 F 0.2424 0.5833 0.8902 1
F3 F 0.2500 0.0769 0.3482 1
```

---

The following is a DFT calculation (PBE) of Zn2BrN4F after structural relaxation.

Computed properties:
* E: -3.639 eV per atom

Structure (CIF):
```
data_Zn2BrN4F
_chemical_formula_sum 'Zn4 Br2 N8 F2'
_cell_length_a 4.4524
_cell_length_b 4.4524
_cell_length_c 10.1332
_cell_angle_alpha 90.00
_cell_angle_beta 90.00
_cell_angle_gamma 90.00
_space_group_name_H-M_alt 'I -4'
_space_group_IT_number 82
_space_group_name_Hall 'I -4'
loop_
_atom_site_label
_atom_site_type_symbol
_atom_site_fract_x
_atom_site_fract_y
_atom_site_fract_z
_atom_site_occupancy
Zn1 Zn 0.0000 0.0000 0.0000 1
Zn2 Zn 0.0000 0.5000 0.2500 1
Br1 Br 0.0000 0.5000 0.7500 1
N1 N 0.1808 0.7735 0.8495 1
F1 F 0.0000 0.0000 0.5000 1
```

---

The following is a DFT calculation (PBE) of RbNbBrF3 after structural relaxation.

Computed properties:
* E: -5.307 eV per atom

Structure (CIF):
```
data_RbNbBrF3
_chemical_formula_sum 'Rb2 Nb2 Br2 F6'
_cell_length_a 4.0621
_cell_length_b 7.5141
_cell_length_c 8.1573
_cell_angle_alpha 112.98
_cell_angle_beta 96.16
_cell_angle_gamma 102.39
_space_group_name_H-M_alt 'P -1'
_space_group_IT_number 2
_space_group_name_Hall '-P 1'
loop_
_atom_site_label
_atom_site_type_symbol
_atom_site_fract_x
_atom_site_fract_y
_atom_site_fract_z
_atom_site_occupancy
Rb1 Rb 0.1624 0.3374 0.1388 1
Nb1 Nb 0.4169 0.0413 0.6728 1
Br1 Br 0.1272 0.2863 0.5597 1
F1 F 0.0568 0.9381 0.2319 1
F2 F 0.3941 0.6871 0.1123 1
F3 F 0.3969 0.8456 0.7836 1
```

---

The following is a DFT calculation (PBE) of NpBrF2 after structural relaxation.

Computed properties:
* E: -7.314 eV per atom

Structure (CIF):
```
data_NpBrF2
_chemical_formula_sum 'Np4 Br4 F8'
_cell_length_a 3.9297
_cell_length_b 10.5854
_cell_length_c 7.0684
_cell_angle_alpha 90.00
_cell_angle_beta 90.00
_cell_angle_gamma 90.00
_space_group_name_H-M_alt 'C m c m'
_space_group_IT_number 63
_space_group_name_Hall '-C 2c 2'
loop_
_atom_site_label
_atom_site_type_symbol
_atom_site_fract_x
_atom_site_fract_y
_atom_site_fract_z
_atom_site_occupancy
Np1 Np 0.0000 0.2270 0.2500 1
Br1 Br 0.0000 0.0520 0.7500 1
F1 F 0.0000 0.3192 0.5652 1
```

---

Repeat the second record exactly.
The following is a DFT calculation (PBE) of Zn2BrN4F after structural relaxation.

Computed properties:
* E: -3.639 eV per atom

Structure (CIF):
```
data_Zn2BrN4F
_chemical_formula_sum 'Zn4 Br2 N8 F2'
_cell_length_a 4.4524
_cell_length_b 4.4524
_cell_length_c 10.1332
_cell_angle_alpha 90.00
_cell_angle_beta 90.00
_cell_angle_gamma 90.00
_space_group_name_H-M_alt 'I -4'
_space_group_IT_number 82
_space_group_name_Hall 'I -4'
loop_
_atom_site_label
_atom_site_type_symbol
_atom_site_fract_x
_atom_site_fract_y
_atom_site_fract_z
_atom_site_occupancy
Zn1 Zn 0.0000 0.0000 0.0000 1
Zn2 Zn 0.0000 0.5000 0.2500 1
Br1 Br 0.0000 0.5000 0.7500 1
N1 N 0.1808 0.7735 0.8495 1
F1 F 0.0000 0.0000 0.5000 1
```

---

- Which of these has the highest E?
  Zn2BrN4F